# Sm3Co3Cu | the Alexandria database | PBE | optimized geometry
# Energy of formation ... -0.13 eV/atom
# Calculated volume ... 19.41 A^3/atom
# Fermi-level density of states ... 0.73 states/eV/atom
data_Sm3Co3Cu
_cell_length_a 4.319
_cell_length_b 10.024
_cell_length_c 12.551
_cell_angle_alpha 90.00
_cell_angle_beta 90.00
_cell_angle_gamma 90.00
_space_group_name_H-M_alt 'C m c m'
_space_group_IT_number 63
_space_group_name_Hall '-C 2c 2'
loop_
_atom_site_label
_atom_site_fract_x
_atom_site_fract_y
_atom_site_fract_z
_atom_site_occupancy
Sm1 0.000 0.014 0.250 1
Sm2 0.000 0.277 0.604 1
Co1 0.000 0.321 0.250 1
Co2 0.000 0.433 0.086 1
Cu1 0.000 0.000 0.000 1